Material: MgZnNiPt2
Method: DFT, PBE
State: relaxed

Values from the calculation:
* raw total energy: -19.4 eV/cell
* symmetry: No. 123
* total magnetic moment: 0.0 μB/cell

```
MgZnNiPt2
1.0
4.659 0.000 0.000
0.000 4.659 0.000
0.000 0.000 4.331
Mg Zn Ni Pt
1 1 1 2
Cartesian
0.000 0.000 0.000
2.330 2.330 0.000
2.330 2.330 2.166
0.000 2.330 2.166
2.330 0.000 2.166
```